(1)
Tm4Tl3Cd2 | PBE | optimized geometry

Lattice parameters (Å, degrees): 8.9656 5.1363 10.3422 90.00 90.69 90.00
Space group C2/m (No. 12)
One atom of each set of equivalent atoms:
1 Tm 0.0011 0.0000 0.3263 [4 per cell]
2 Tm 0.1659 0.5000 0.8893 [4 per cell]
3 Tl 0.0000 0.0000 0.0000 [2 per cell]
4 Tl 0.1660 0.5000 0.5636 [4 per cell]
5 Cd 0.1672 0.5000 0.2061 [4 per cell]

total moment	0.0	Bohr magnetons per cell
DFT formation energy	-208	meV per atom
calculated total energy	-3.19	eV/atom
V	26.46	Å³/atom



(2)
Tm6Tl6Cd | PBE | optimized geometry

Lattice parameters (Å, degrees): 6.4068 6.4068 10.3098 90.00 90.00 120.00
Space group P6/mmm (No. 191)
One atom of each set of equivalent atoms:
1 Tm 0.0000 0.0000 0.1776 [2 per cell]
2 Tm 0.3333 0.6667 0.0000 [2 per cell]
3 Tm 0.3333 0.6667 0.5000 [2 per cell]
4 Tl 0.0000 0.5000 0.2509 [6 per cell]
5 Cd 0.0000 0.0000 0.5000 [1 per cell]

total moment	0.0	Bohr magnetons per cell
DFT formation energy	-126	meV per atom
calculated total energy	-3.35	eV/atom
V	28.19	Å³/atom



(3)
Tm5TlCd4 | PBE | optimized geometry

Lattice parameters (Å, degrees): 3.7106 3.7106 18.5018 90.00 90.00 90.00
Space group P4/mmm (No. 123)
One atom of each set of equivalent atoms:
1 Tm 0.0000 0.0000 0.0000 [1 per cell]
2 Tm 0.0000 0.0000 0.1987 [2 per cell]
3 Tm 0.0000 0.0000 0.3963 [2 per cell]
4 Tl 0.5000 0.5000 0.5000 [1 per cell]
5 Cd 0.5000 0.5000 0.0998 [2 per cell]
6 Cd 0.5000 0.5000 0.2959 [2 per cell]

total moment	0.0	Bohr magnetons per cell
DFT formation energy	-310	meV per atom
calculated total energy	-3.15	eV/atom
V	25.47	Å³/atom



(4)
Tm4Tl3Cd | PBE | optimized geometry

Lattice parameters (Å, degrees): 3.7591 4.8143 11.9079 90.00 90.00 90.00
Space group Pmm2 (No. 25)
One atom of each set of equivalent atoms:
1 Tm 0.0000 0.0000 0.0000 [1 per cell]
2 Tm 0.0000 0.5000 0.3033 [1 per cell]
3 Tm 0.5000 0.0000 0.4936 [1 per cell]
4 Tm 0.5000 0.5000 0.8046 [1 per cell]
5 Tl 0.0000 0.0000 0.7394 [1 per cell]
6 Tl 0.0000 0.5000 0.5638 [1 per cell]
7 Tl 0.5000 0.5000 0.0688 [1 per cell]
8 Cd 0.5000 0.0000 0.2319 [1 per cell]

total moment	0.0	Bohr magnetons per cell
DFT formation energy	-259	meV per atom
calculated total energy	-3.50	eV/atom
energy relative to the lowest polymorph listed for this composition	43.2	meV per atom
V	26.94	Å³/atom



(5)
Tm6TlCd5 | PBE | optimized geometry

Lattice parameters (Å, degrees): 5.2284 15.7308 7.4147 90.00 90.00 90.00
Space group Cmmm (No. 65)
One atom of each set of equivalent atoms:
1 Tm 0.0000 0.0000 0.2484 [4 per cell]
2 Tm 0.0000 0.3327 0.2474 [8 per cell]
3 Tl 0.0000 0.5000 0.5000 [2 per cell]
4 Cd 0.0000 0.1664 0.0000 [4 per cell]
5 Cd 0.0000 0.1712 0.5000 [4 per cell]
6 Cd 0.0000 0.5000 0.0000 [2 per cell]

total moment	0.0	Bohr magnetons per cell
DFT formation energy	-314	meV per atom
calculated total energy	-3.13	eV/atom
V	25.41	Å³/atom



(6)
Tm3Tl2Cd | PBE | optimized geometry

Lattice parameters (Å, degrees): 3.6996 3.6996 11.4345 90.00 90.00 90.00
Space group P4/mmm (No. 123)
One atom of each set of equivalent atoms:
1 Tm 0.0000 0.0000 0.0000 [1 per cell]
2 Tm 0.0000 0.0000 0.3419 [2 per cell]
3 Tl 0.5000 0.5000 0.1727 [2 per cell]
4 Cd 0.5000 0.5000 0.5000 [1 per cell]

total moment	0.0	Bohr magnetons per cell
DFT formation energy	-303	meV per atom
calculated total energy	-3.48	eV/atom
V	26.08	Å³/atom



Which of these has the lowest calculated total energy? Tm4Tl3Cd